# 1
# GGA-PBE Gd2DyZn, relaxed
# Relative energy among the computed polymorphs in meV/atom: 183
# E in eV for the cell shown: -135.7
# Energy of formation in eV per atom: 0.030
# Density in g/cm³: 8.3
data_Gd2DyZn
_chemical_formula_sum 'Gd8 Dy4 Zn4'
_symmetry_space_group_name_H-M 'F m -3 m'
_symmetry_Int_Tables_number 225
_symmetry_space_group_name_Hall '-F 4 2 3'
_cell_length_a 7.578
_cell_length_b 7.578
_cell_length_c 7.578
_cell_angle_alpha 90.00
_cell_angle_beta 90.00
_cell_angle_gamma 90.00
loop_
_atom_site_label
_atom_site_fract_x
_atom_site_fract_y
_atom_site_fract_z
Gd1 0.250 0.250 0.250
Dy1 0.000 0.000 0.000
Zn1 0.000 0.000 0.500

---

# 2
# GGA-PBE GdDy2Zr, relaxed
# Relative energy among the computed polymorphs in meV/atom: 72
# E in eV for the cell shown: -31.2
# Energy of formation in eV per atom: 0.162
# Density in g/cm³: 8.1
data_GdDy2Zr
_chemical_formula_sum 'Gd1 Dy2 Zr1'
_symmetry_space_group_name_H-M 'P 4/m m m'
_symmetry_Int_Tables_number 123
_symmetry_space_group_name_Hall '-P 4 2'
_cell_length_a 3.995
_cell_length_b 3.995
_cell_length_c 7.367
_cell_angle_alpha 90.00
_cell_angle_beta 90.00
_cell_angle_gamma 90.00
loop_
_atom_site_label
_atom_site_fract_x
_atom_site_fract_y
_atom_site_fract_z
Gd1 0.000 0.000 0.000
Dy1 0.500 0.500 0.277
Zr1 0.000 0.000 0.500

---

# 3
# GGA-PBE GdDy2Zr, relaxed
# Relative energy among the computed polymorphs in meV/atom: 0
# E in eV for the cell shown: -31.5
# Energy of formation in eV per atom: 0.091
# Density in g/cm³: 8.3
data_GdDy2Zr
_chemical_formula_sum 'Gd1 Dy2 Zr1'
_symmetry_space_group_name_H-M 'P 4/m m m'
_symmetry_Int_Tables_number 123
_symmetry_space_group_name_Hall '-P 4 2'
_cell_length_a 4.868
_cell_length_b 4.868
_cell_length_c 4.867
_cell_angle_alpha 90.00
_cell_angle_beta 90.00
_cell_angle_gamma 90.00
loop_
_atom_site_label
_atom_site_fract_x
_atom_site_fract_y
_atom_site_fract_z
Gd1 0.000 0.000 0.000
Dy1 0.000 0.500 0.500
Zr1 0.500 0.500 0.000

---

# 4
# GGA-PBE GdDy2Zr, relaxed
# Relative energy among the computed polymorphs in meV/atom: 122
# E in eV for the cell shown: -123.9
# Energy of formation in eV per atom: 0.213
# Density in g/cm³: 8.1
data_GdDy2Zr
_chemical_formula_sum 'Gd4 Dy8 Zr4'
_symmetry_space_group_name_H-M 'F m -3 m'
_symmetry_Int_Tables_number 225
_symmetry_space_group_name_Hall '-F 4 2 3'
_cell_length_a 7.790
_cell_length_b 7.790
_cell_length_c 7.790
_cell_angle_alpha 90.00
_cell_angle_beta 90.00
_cell_angle_gamma 90.00
loop_
_atom_site_label
_atom_site_fract_x
_atom_site_fract_y
_atom_site_fract_z
Gd1 0.000 0.000 0.000
Dy1 0.250 0.250 0.250
Zr1 0.000 0.000 0.500

---

# 5
# GGA-PBE GdDyZr2, relaxed
# Relative energy among the computed polymorphs in meV/atom: 0
# E in eV for the cell shown: -35.3
# Energy of formation in eV per atom: 0.128
# Density in g/cm³: 7.8
data_GdDyZr2
_chemical_formula_sum 'Gd1 Dy1 Zr2'
_symmetry_space_group_name_H-M 'P 4/m m m'
_symmetry_Int_Tables_number 123
_symmetry_space_group_name_Hall '-P 4 2'
_cell_length_a 4.692
_cell_length_b 4.692
_cell_length_c 4.842
_cell_angle_alpha 90.00
_cell_angle_beta 90.00
_cell_angle_gamma 90.00
loop_
_atom_site_label
_atom_site_fract_x
_atom_site_fract_y
_atom_site_fract_z
Gd1 0.000 0.000 0.000
Dy1 0.500 0.500 0.000
Zr1 0.000 0.500 0.500

---

# 6
# GGA-PBE GdDyZr2, relaxed
# Relative energy among the computed polymorphs in meV/atom: 186
# E in eV for the cell shown: -103.6
# Energy of formation in eV per atom: 0.313
# Density in g/cm³: 7.7
data_GdDyZr2
_chemical_formula_sum 'Gd3 Dy3 Zr6'
_symmetry_space_group_name_H-M 'R -3 m'
_symmetry_Int_Tables_number 166
_symmetry_space_group_name_Hall '-R 3 2"'
_cell_length_a 3.2765
_cell_length_b 3.2765
_cell_length_c 35.0523
_cell_angle_alpha 90.00
_cell_angle_beta 90.00
_cell_angle_gamma 120.00
loop_
_atom_site_label
_atom_site_fract_x
_atom_site_fract_y
_atom_site_fract_z
Gd1 0.0000 0.0000 0.0000
Dy1 0.0000 0.0000 0.5000
Zr1 0.0000 0.0000 0.4105

---

# 7
# GGA-PBE Dy4Ge3, relaxed
# E in eV for the cell shown: -153.2
# Energy of formation in eV per atom: -0.862
# Density in g/cm³: 8.3
data_Dy4Ge3
_chemical_formula_sum 'Dy16 Ge12'
_symmetry_space_group_name_H-M 'I -4 3 d'
_symmetry_Int_Tables_number 220
_symmetry_space_group_name_Hall 'I -4bd 2c 3'
_cell_length_a 8.844
_cell_length_b 8.844
_cell_length_c 8.844
_cell_angle_alpha 90.00
_cell_angle_beta 90.00
_cell_angle_gamma 90.00
loop_
_atom_site_label
_atom_site_fract_x
_atom_site_fract_y
_atom_site_fract_z
Dy1 0.066 0.434 0.566
Ge1 0.000 0.250 0.875

---

# 8
# GGA-PBE Dy5Ge4, relaxed
# E in eV for the cell shown: -97.4
# Energy of formation in eV per atom: -0.800
# Density in g/cm³: 8.6
data_Dy5Ge4
_chemical_formula_sum 'Dy10 Ge8'
_symmetry_space_group_name_H-M 'C 1 2/m 1'
_symmetry_Int_Tables_number 12
_cell_length_a 10.818
_cell_length_b 4.312
_cell_length_c 9.901
_cell_angle_alpha 90.00
_cell_angle_beta 112.15
_cell_angle_gamma 90.00
loop_
_symmetry_equiv_pos_as_xyz
'x,y,z'
'-x,-y,-z'
'-x,y,-z'
'x,-y,z'
'x+1/2,y+1/2,z'
'-x+1/2,-y+1/2,-z'
'-x+1/2,y+1/2,-z'
'x+1/2,-y+1/2,z'
loop_
_atom_site_label
_atom_site_fract_x
_atom_site_fract_y
_atom_site_fract_z
Dy1 0.000 0.000 0.000
Dy2 0.097 0.000 0.390
Dy3 0.246 0.000 0.831
Ge1 0.046 0.500 0.833
Ge2 0.130 0.500 0.610